Nb2SbRh2 | GGA-PBE | relaxed

Summary:
- DOS at the Fermi energy (states/eV/cell) = 9.46
- raw formation energy (eV per formula unit) = -0.76
- final energy (eV/atom) = -7.9444
- energy above the lowest structure with this stoichiometry (eV per atom) = 0.091
- magnetic moment (μB/atom) = 0.00

Cell: 7.7454 7.7454 3.0321 Å, 90.00 90.00 90.00°
Element x y z (fractional)
Nb: 0.6604 0.1604 0.0000
Nb: 0.8396 0.6604 0.0000
Nb: 0.1604 0.3396 0.0000
Nb: 0.3396 0.8396 0.0000
Rh: 0.1299 0.6299 0.5000
Rh: 0.8701 0.3701 0.5000
Rh: 0.3701 0.1299 0.5000
Rh: 0.6299 0.8701 0.5000
Sb: 0.0000 0.0000 0.0000
Sb: 0.5000 0.5000 0.0000